First-principles (PBE-GGA) data for K3Mn3TcS8 after structural relaxation, as listed in Alexandria.

The structure in POSCAR format:
```
K3Mn3TcS8
1.0
7.005 0.000 0.000
-3.502 6.062 -0.022
0.000 -4.016 7.285
K Mn Tc S
3 3 1 8
Direct
0.000 0.000 0.000
0.000 0.500 0.000
0.500 0.500 0.000
0.500 0.000 0.500
0.500 0.500 0.500
0.000 0.500 0.500
0.000 0.000 0.500
0.276 0.552 0.328
0.724 0.448 0.672
0.769 0.538 0.324
0.231 0.462 0.676
0.769 0.054 0.324
0.231 0.946 0.676
0.285 0.054 0.324
0.715 0.946 0.676
```

Density of states at the Fermi level, states/eV/cell: 7.011
Energy relative to the elements, uncorrected, eV per atom: -0.717
Calculated volume, Å³/atom: 20.58
SG: R-3m, No. 166
Spin magnetization, μB per atom: 0.601


First-principles (PBE-GGA) data for K2CdMo after structural relaxation, as listed in Alexandria.

The structure in POSCAR format:
```
K2CdMo
1.0
5.724 -0.001 0.000
0.047 5.724 0.000
-2.886 -2.862 4.031
Cd K Mo
1 2 1
Direct
0.750 0.250 0.500
0.000 0.000 0.000
0.250 0.750 0.500
0.500 0.500 0.000
```

Density of states at the Fermi level, states/eV/cell: 3.192
Energy of formation, eV per formula unit: 4.20
Calculated volume, Å³/atom: 33.02
SG: I-4m2, No. 119
Spin magnetization, μB per atom: 1.125


First-principles (PBE-GGA) data for Ac8OsPt2 after structural relaxation, as listed in Alexandria.

The structure in POSCAR format:
```
Ac8OsPt2
1.0
-3.518 1.975 -1.337
-3.549 -0.217 9.017
6.231 7.961 2.118
Ac Os Pt
8 1 2
Direct
0.598 0.538 0.195
0.353 0.034 0.706
0.227 0.330 0.454
0.990 0.795 0.980
0.773 0.670 0.546
0.647 0.966 0.294
0.402 0.462 0.805
0.010 0.205 0.020
0.500 0.000 0.000
0.162 0.729 0.325
0.838 0.271 0.675
```

Density of states at the Fermi level, states/eV/cell: 9.679
Energy of formation, eV per formula unit: -4.97
Calculated volume, Å³/atom: 37.81
SG: C2/m, No. 12
Spin magnetization, μB per atom: 0.000


First-principles (PBE-GGA) data for Ba2LaRe after structural relaxation, as listed in Alexandria.

The structure in POSCAR format:
```
Ba2LaRe
1.0
-2.035 -5.163 -0.417
-4.504 -1.460 2.926
-4.842 -0.881 -2.599
Re Ba La
1 2 1
Direct
0.500 0.500 0.500
0.250 0.250 0.250
0.750 0.750 0.750
0.000 0.000 0.000
```

Density of states at the Fermi level, states/eV/cell: 1.828
Energy relative to the lowest polymorph listed for this composition, eV per atom: 0.540
Energy of formation, eV per formula unit: 4.17
Calculated volume, Å³/atom: 30.48
SG: Fm-3m, No. 225
Spin magnetization, μB per atom: 0.000


First-principles (PBE-GGA) data for Na4PuU3S8 after structural relaxation, as listed in Alexandria.

The structure in POSCAR format:
```
Na4PuU3S8
1.0
-7.745 -1.348 -1.448
0.006 -5.983 5.537
2.457 7.303 2.121
Na Pu U S
4 1 3 8
Direct
0.500 0.000 0.000
0.500 0.000 0.500
0.000 0.000 0.000
0.000 0.000 0.500
0.000 0.500 0.000
0.500 0.500 0.000
0.500 0.500 0.500
0.000 0.500 0.500
0.245 0.730 0.983
0.246 0.730 0.492
0.257 0.271 0.514
0.738 0.730 0.983
0.262 0.270 0.017
0.743 0.729 0.486
0.754 0.270 0.508
0.755 0.270 0.017
```

Density of states at the Fermi level, states/eV/cell: 26.858
Energy relative to the elements, uncorrected, eV per atom: -1.382
Calculated volume, Å³/atom: 23.24
SG: R-3m, No. 166
Spin magnetization, μB per atom: 0.171


First-principles (PBE-GGA) data for HfTaGa2 after structural relaxation, as listed in Alexandria.

The structure in POSCAR format:
```
HfTaGa2
1.0
4.051 0.000 0.000
0.000 4.152 0.000
0.000 0.000 4.152
Hf Ga Ta
1 2 1
Direct
0.500 0.000 0.000
0.000 0.000 0.500
0.000 0.500 0.000
0.500 0.500 0.500
```

Density of states at the Fermi level, states/eV/cell: 1.484
Energy relative to the lowest polymorph listed for this composition, eV per atom: 0.029
Energy of formation, eV per formula unit: -1.03
Calculated volume, Å³/atom: 17.46
SG: P4/mmm, No. 123
Spin magnetization, μB per atom: 0.000


First-principles (PBE-GGA) data for CdRu2Se after structural relaxation, as listed in Alexandria.

The structure in POSCAR format:
```
CdRu2Se
1.0
-3.906 1.241 1.174
-3.235 -1.434 2.378
1.261 2.549 4.957
Cd Ru Se
1 2 1
Direct
0.250 0.250 0.250
0.005 0.005 0.947
0.495 0.495 0.553
0.750 0.750 0.750
```

Density of states at the Fermi level, states/eV/cell: 2.849
Energy relative to the elements, uncorrected, eV per atom: 0.292
Energy relative to the lowest polymorph listed for this composition, eV per atom: 0.114
Calculated volume, Å³/atom: 16.88
SG: C2/m, No. 12
Spin magnetization, μB per atom: 0.000


First-principles (PBE-GGA) data for HoMnGa3 after structural relaxation, as listed in Alexandria.

The structure in POSCAR format:
```
HoMnGa3
1.0
5.771 0.000 0.000
0.000 7.226 0.000
0.000 0.000 9.132
Ho Mn Ga
4 4 12
Direct
0.501 0.404 0.750
0.999 0.904 0.250
0.499 0.596 0.250
0.001 0.096 0.750
0.000 0.500 0.000
0.500 0.000 0.500
0.500 0.000 0.000
0.000 0.500 0.500
0.750 0.250 0.036
0.750 0.750 0.536
0.750 0.750 0.964
0.250 0.750 0.536
0.250 0.750 0.964
0.250 0.250 0.464
0.250 0.250 0.036
0.750 0.250 0.464
0.501 0.960 0.750
0.999 0.460 0.250
0.499 0.040 0.250
0.001 0.540 0.750
```

Density of states at the Fermi level, states/eV/cell: 12.822
Energy of formation, eV per formula unit: -1.23
Calculated volume, Å³/atom: 19.04
SG: Pnma, No. 62
Spin magnetization, μB per atom: 0.099


First-principles (PBE-GGA) data for MgTeC2 after structural relaxation, as listed in Alexandria.

The structure in POSCAR format:
```
MgTeC2
1.0
1.325 -2.838 2.865
-2.125 -0.490 3.642
-2.251 -3.533 0.685
Mg Te C
1 1 2
Direct
0.000 0.000 0.000
0.500 0.500 0.500
0.250 0.250 0.250
0.750 0.750 0.750
```

Density of states at the Fermi level, states/eV/cell: 2.244
Energy relative to the elements, uncorrected, eV per atom: 1.956
Energy relative to the lowest polymorph listed for this composition, eV per atom: 0.847
Calculated volume, Å³/atom: 13.52
SG: Fm-3m, No. 225
Spin magnetization, μB per atom: 0.000


First-principles (PBE-GGA) data for Li7P6 after structural relaxation, as listed in Alexandria.

The structure in POSCAR format:
```
Li7P6
1.0
10.928 -0.008 -0.005
9.870 4.692 -0.005
9.870 2.223 4.132
P Li
6 7
Direct
0.091 0.091 0.091
0.909 0.909 0.909
0.160 0.160 0.160
0.840 0.840 0.840
0.333 0.333 0.333
0.667 0.667 0.667
0.565 0.064 0.565
0.565 0.565 0.064
0.064 0.565 0.565
0.435 0.936 0.435
0.936 0.435 0.435
0.435 0.435 0.936
0.500 0.500 0.500
```

Density of states at the Fermi level, states/eV/cell: 5.879
Energy of formation, eV per formula unit: -3.01
Calculated volume, Å³/atom: 16.34
SG: R-3m, No. 166
Spin magnetization, μB per atom: 0.000


First-principles (PBE-GGA) data for CeTh2Sb after structural relaxation, as listed in Alexandria.

The structure in POSCAR format:
```
CeTh2Sb
1.0
5.497 0.000 0.000
2.749 4.761 0.000
2.749 1.587 4.490
Sb Ce Th
1 1 2
Direct
0.500 0.500 0.500
0.000 0.000 0.000
0.750 0.750 0.750
0.250 0.250 0.250
```

Density of states at the Fermi level, states/eV/cell: 10.424
Energy relative to the elements, uncorrected, eV per atom: -0.115
Energy relative to the lowest polymorph listed for this composition, eV per atom: 0.321
Calculated volume, Å³/atom: 29.38
SG: Fm-3m, No. 225
Spin magnetization, μB per atom: 0.488


First-principles (PBE-GGA) data for Nb2Tl2FeS6 after structural relaxation, as listed in Alexandria.

The structure in POSCAR format:
```
Nb2Tl2FeS6
1.0
-2.563 3.685 3.984
-2.088 -5.522 -1.078
6.255 -2.286 4.743
Nb Tl Fe S
2 2 1 6
Direct
0.359 0.641 0.500
0.641 0.359 0.500
0.823 0.177 0.000
0.177 0.823 0.000
0.000 0.000 0.500
0.760 0.760 0.699
0.043 0.368 0.670
0.240 0.240 0.301
0.368 0.043 0.670
0.957 0.632 0.330
0.632 0.957 0.330
```

Density of states at the Fermi level, states/eV/cell: 1.412
Energy relative to the elements, uncorrected, eV per atom: -0.665
Calculated volume, Å³/atom: 21.97
SG: C2/m, No. 12
Spin magnetization, μB per atom: 0.000


First-principles (PBE-GGA) data for TiGeC after structural relaxation, as listed in Alexandria.

The structure in POSCAR format:
```
TiGeC
1.0
-0.769 4.375 0.143
-2.625 -0.514 1.619
4.759 -1.558 4.203
Ge C Ti
2 2 2
Direct
0.643 0.143 0.287
0.357 0.857 0.713
0.661 0.500 0.000
0.339 0.500 0.000
0.129 0.629 0.258
0.871 0.371 0.742
```

Density of states at the Fermi level, states/eV/cell: 4.009
Energy of formation, eV per formula unit: 0.94
Calculated volume, Å³/atom: 13.77
SG: Immm, No. 71
Spin magnetization, μB per atom: 0.000